# 1
{"formula": "Ti3NbH6", "functional": "PBE", "state": "optimized geometry", "lattice_angstrom": [[2.4739, 1.4283, 3.8459], [-2.4739, 1.4283, 3.8459], [0.0000, -2.8566, 3.8459]], "species": ["Ti", "Ti", "Ti", "Nb", "H", "H", "H", "H", "H", "H"], "fractional_positions": [[0.0000, 0.0000, 0.0000], [0.2467, 0.2467, 0.2467], [0.4985, 0.4985, 0.4985], [0.7449, 0.7449, 0.7449], [0.1284, 0.3860, 0.8606], [0.3484, 0.8904, 0.6218], [0.3860, 0.8606, 0.1284], [0.6218, 0.3484, 0.8904], [0.8606, 0.1284, 0.3860], [0.8904, 0.6218, 0.3484]], "e_tot_ev_per_cell": -57.67, "spacegroup": "R3, No. 146", "volume_a3_per_atom": 8.15}

***

# 2
{"formula": "Ti2NbH", "functional": "PBE", "state": "optimized geometry", "lattice_angstrom": [[2.7462, 0.0000, 0.0000], [0.0000, 2.7462, 0.0000], [0.0000, 0.0000, 7.2074]], "species": ["Ti", "Ti", "Nb", "H"], "fractional_positions": [[0.0000, 0.0000, 0.1796], [0.0000, 0.0000, 0.8204], [0.5000, 0.5000, 0.5000], [0.5000, 0.5000, 0.0000]], "e_tot_ev_per_cell": -28.64, "spacegroup": "P4/mmm, No. 123", "volume_a3_per_atom": 13.59}

***

# 3
{"formula": "Ti2NbH3", "functional": "PBE", "state": "optimized geometry", "lattice_angstrom": [[4.6259, -2.4007, 0.0000], [4.6259, 2.4007, 0.0000], [-2.3586, 0.0000, 5.1799]], "species": ["Ti", "Ti", "Ti", "Ti", "Nb", "Nb", "H", "H", "H", "H", "H", "H"], "fractional_positions": [[0.1618, 0.1754, 0.0815], [0.1754, 0.1618, 0.5815], [0.8246, 0.8382, 0.4185], [0.8382, 0.8246, 0.9185], [0.4912, 0.5088, 0.7500], [0.5088, 0.4912, 0.2500], [0.0685, 0.9315, 0.7500], [0.2475, 0.4070, 0.9165], [0.4070, 0.2475, 0.4165], [0.5930, 0.7525, 0.5835], [0.7525, 0.5930, 0.0835], [0.9315, 0.0685, 0.2500]], "e_tot_ev_per_cell": -75.46, "spacegroup": "C2/c, No. 15", "volume_a3_per_atom": 9.59}

***

# 4
{"formula": "TiNb2H2", "functional": "PBE", "state": "optimized geometry", "lattice_angstrom": [[4.8032, 0.0000, 0.0000], [2.3822, 5.0626, 0.0000], [2.3876, 1.6484, 4.8358]], "species": ["Ti", "Ti", "Nb", "Nb", "Nb", "Nb", "H", "H", "H", "H"], "fractional_positions": [[0.1560, 0.4033, 0.2412], [0.8440, 0.5967, 0.7588], [0.1645, 0.9198, 0.7455], [0.4983, 0.7618, 0.2509], [0.5017, 0.2382, 0.7491], [0.8355, 0.0802, 0.2545], [0.1698, 0.7728, 0.1290], [0.4738, 0.3822, 0.3716], [0.5262, 0.6178, 0.6284], [0.8302, 0.2272, 0.8710]], "e_tot_ev_per_cell": -71.73, "spacegroup": "P-1, No. 2", "volume_a3_per_atom": 11.76}

***

# 5
{"formula": "Ti2NbTlH", "functional": "PBE", "state": "optimized geometry", "lattice_angstrom": [[4.3841, 0.0000, 0.0000], [0.0000, 4.3841, 0.0000], [0.0000, 0.0000, 3.8929]], "species": ["Ti", "Ti", "Nb", "Tl", "H"], "fractional_positions": [[0.0000, 0.5000, 0.0000], [0.5000, 0.0000, 0.0000], [0.0000, 0.0000, 0.5000], [0.5000, 0.5000, 0.5000], [0.0000, 0.0000, 0.0000]], "e_tot_ev_per_cell": -32.20, "spacegroup": "P4/mmm, No. 123", "volume_a3_per_atom": 14.96}

***

# 6
{"formula": "Ti2NbTlH", "functional": "PBE", "state": "optimized geometry", "lattice_angstrom": [[5.0404, 0.0000, 0.0000], [0.0000, 5.0404, 0.0000], [0.0000, 0.0000, 3.5363]], "species": ["Ti", "Ti", "Nb", "Tl", "H"], "fractional_positions": [[0.0000, 0.5000, 0.0000], [0.5000, 0.0000, 0.0000], [0.0000, 0.0000, 0.0000], [0.5000, 0.5000, 0.5000], [0.0000, 0.0000, 0.5000]], "e_tot_ev_per_cell": -28.16, "spacegroup": "P4/mmm, No. 123", "volume_a3_per_atom": 17.97}

***

# 7
{"formula": "Ti2NbVH", "functional": "PBE", "state": "optimized geometry", "lattice_angstrom": [[3.8535, 0.0000, 0.0000], [0.0000, 3.8535, 0.0000], [0.0000, 0.0000, 4.5777]], "species": ["Ti", "Ti", "Nb", "V", "H"], "fractional_positions": [[0.0000, 0.5000, 0.0000], [0.5000, 0.0000, 0.0000], [0.0000, 0.0000, 0.5000], [0.5000, 0.5000, 0.5000], [0.5000, 0.5000, 0.0000]], "e_tot_ev_per_cell": -38.34, "spacegroup": "P4/mmm, No. 123", "volume_a3_per_atom": 13.60}

***

# 8
{"formula": "Ti2NbVH", "functional": "PBE", "state": "optimized geometry", "lattice_angstrom": [[3.8568, 0.0000, 0.0000], [0.0000, 3.8568, 0.0000], [0.0000, 0.0000, 4.5914]], "species": ["Ti", "Ti", "Nb", "V", "H"], "fractional_positions": [[0.0000, 0.5000, 0.0000], [0.5000, 0.0000, 0.0000], [0.0000, 0.0000, 0.5000], [0.5000, 0.5000, 0.5000], [0.0000, 0.0000, 0.0000]], "e_tot_ev_per_cell": -38.33, "spacegroup": "P4/mmm, No. 123", "volume_a3_per_atom": 13.66}

***

# 9
{"formula": "Ti2NbHW", "functional": "PBE", "state": "optimized geometry", "lattice_angstrom": [[3.8804, 0.0000, 0.0000], [0.0000, 3.8804, 0.0000], [0.0000, 0.0000, 4.6482]], "species": ["Ti", "Ti", "Nb", "H", "W"], "fractional_positions": [[0.0000, 0.5000, 0.0000], [0.5000, 0.0000, 0.0000], [0.0000, 0.0000, 0.5000], [0.0000, 0.0000, 0.0000], [0.5000, 0.5000, 0.5000]], "e_tot_ev_per_cell": -42.21, "spacegroup": "P4/mmm, No. 123", "volume_a3_per_atom": 14.00}

***

# 10
{"formula": "TiNb2HW", "functional": "PBE", "state": "optimized geometry", "lattice_angstrom": [[4.5024, 0.0000, 0.0000], [0.0000, 4.5024, 0.0000], [0.0000, 0.0000, 3.5028]], "species": ["Ti", "Nb", "Nb", "H", "W"], "fractional_positions": [[0.0000, 0.0000, 0.0000], [0.0000, 0.5000, 0.5000], [0.5000, 0.0000, 0.5000], [0.0000, 0.0000, 0.5000], [0.5000, 0.5000, 0.0000]], "e_tot_ev_per_cell": -44.61, "spacegroup": "P4/mmm, No. 123", "volume_a3_per_atom": 14.20}

***

# 11
{"formula": "Ti2NbHW", "functional": "PBE", "state": "optimized geometry", "lattice_angstrom": [[3.9119, 0.0000, 0.0000], [0.0000, 3.9119, 0.0000], [0.0000, 0.0000, 4.5837]], "species": ["Ti", "Ti", "Nb", "H", "W"], "fractional_positions": [[0.0000, 0.5000, 0.0000], [0.5000, 0.0000, 0.0000], [0.0000, 0.0000, 0.5000], [0.5000, 0.5000, 0.0000], [0.5000, 0.5000, 0.5000]], "e_tot_ev_per_cell": -42.02, "spacegroup": "P4/mmm, No. 123", "volume_a3_per_atom": 14.03}

***

# 12
{"formula": "TiNbH2W", "functional": "PBE", "state": "optimized geometry", "lattice_angstrom": [[3.6673, 0.0000, 0.0000], [0.0000, 3.6673, 0.0000], [0.0000, 0.0000, 5.1218]], "species": ["Ti", "Nb", "H", "H", "W"], "fractional_positions": [[0.0000, 0.0000, 0.0000], [0.5000, 0.5000, 0.5000], [0.0000, 0.5000, 0.5000], [0.5000, 0.0000, 0.5000], [0.5000, 0.5000, 0.0000]], "e_tot_ev_per_cell": -34.08, "spacegroup": "P4/mmm, No. 123", "volume_a3_per_atom": 13.78}

***

# 13
{"formula": "Ti2NbZnH", "functional": "PBE", "state": "optimized geometry", "lattice_angstrom": [[4.0989, 0.0000, 0.0000], [0.0000, 4.0989, 0.0000], [0.0000, 0.0000, 4.0419]], "species": ["Ti", "Ti", "Nb", "Zn", "H"], "fractional_positions": [[0.0000, 0.5000, 0.0000], [0.5000, 0.0000, 0.0000], [0.0000, 0.0000, 0.5000], [0.5000, 0.5000, 0.5000], [0.0000, 0.0000, 0.0000]], "e_tot_ev_per_cell": -31.55, "spacegroup": "P4/mmm, No. 123", "volume_a3_per_atom": 13.58}

***

# 14
{"formula": "Ti2NbZnH", "functional": "PBE", "state": "optimized geometry", "lattice_angstrom": [[4.0476, 0.0000, 0.0000], [0.0000, 4.0476, 0.0000], [0.0000, 0.0000, 4.1281]], "species": ["Ti", "Ti", "Nb", "Zn", "H"], "fractional_positions": [[0.0000, 0.5000, 0.0000], [0.5000, 0.0000, 0.0000], [0.0000, 0.0000, 0.5000], [0.5000, 0.5000, 0.5000], [0.5000, 0.5000, 0.0000]], "e_tot_ev_per_cell": -30.98, "spacegroup": "P4/mmm, No. 123", "volume_a3_per_atom": 13.53}

***

# 15
{"formula": "ZrTi2NbH", "functional": "PBE", "state": "optimized geometry", "lattice_angstrom": [[4.0482, 0.0000, 0.0000], [0.0000, 4.0482, 0.0000], [0.0000, 0.0000, 4.7135]], "species": ["Zr", "Ti", "Ti", "Nb", "H"], "fractional_positions": [[0.0000, 0.0000, 0.0000], [0.0000, 0.5000, 0.5000], [0.5000, 0.0000, 0.5000], [0.5000, 0.5000, 0.0000], [0.0000, 0.0000, 0.5000]], "e_tot_ev_per_cell": -37.97, "spacegroup": "P4/mmm, No. 123", "volume_a3_per_atom": 15.45}

***

# 16
{"formula": "ZrTiNb2H", "functional": "PBE", "state": "optimized geometry", "lattice_angstrom": [[4.0389, 0.0000, 0.0000], [0.0000, 4.0389, 0.0000], [0.0000, 0.0000, 4.8558]], "species": ["Zr", "Ti", "Nb", "Nb", "H"], "fractional_positions": [[0.0000, 0.0000, 0.0000], [0.5000, 0.5000, 0.0000], [0.0000, 0.5000, 0.5000], [0.5000, 0.0000, 0.5000], [0.5000, 0.5000, 0.5000]], "e_tot_ev_per_cell": -39.91, "spacegroup": "P4/mmm, No. 123", "volume_a3_per_atom": 15.84}

***

# 17
{"formula": "ZrTiNb2H", "functional": "PBE", "state": "optimized geometry", "lattice_angstrom": [[4.0394, 0.0000, 0.0000], [0.0000, 4.0394, 0.0000], [0.0000, 0.0000, 4.8708]], "species": ["Zr", "Ti", "Nb", "Nb", "H"], "fractional_positions": [[0.0000, 0.0000, 0.0000], [0.5000, 0.5000, 0.0000], [0.0000, 0.5000, 0.5000], [0.5000, 0.0000, 0.5000], [0.0000, 0.0000, 0.5000]], "e_tot_ev_per_cell": -39.90, "spacegroup": "P4/mmm, No. 123", "volume_a3_per_atom": 15.89}

***

# 18
{"formula": "Zr2TiNbH", "functional": "PBE", "state": "optimized geometry", "lattice_angstrom": [[4.6970, 0.0000, 0.0000], [0.0000, 4.6970, 0.0000], [0.0000, 0.0000, 3.8061]], "species": ["Zr", "Zr", "Ti", "Nb", "H"], "fractional_positions": [[0.0000, 0.5000, 0.0000], [0.5000, 0.0000, 0.0000], [0.0000, 0.0000, 0.5000], [0.5000, 0.5000, 0.5000], [0.5000, 0.5000, 0.0000]], "e_tot_ev_per_cell": -38.61, "spacegroup": "P4/mmm, No. 123", "volume_a3_per_atom": 16.79}

***

# 19
{"formula": "Zr2TiNbH", "functional": "PBE", "state": "optimized geometry", "lattice_angstrom": [[4.7073, 0.0000, 0.0000], [0.0000, 4.7073, 0.0000], [0.0000, 0.0000, 3.7344]], "species": ["Zr", "Zr", "Ti", "Nb", "H"], "fractional_positions": [[0.0000, 0.5000, 0.0000], [0.5000, 0.0000, 0.0000], [0.0000, 0.0000, 0.5000], [0.5000, 0.5000, 0.5000], [0.0000, 0.0000, 0.0000]], "e_tot_ev_per_cell": -38.69, "spacegroup": "P4/mmm, No. 123", "volume_a3_per_atom": 16.55}

***

# 20
{"formula": "ZrTi2NbH", "functional": "PBE", "state": "optimized geometry", "lattice_angstrom": [[4.1075, 0.0000, 0.0000], [0.0000, 4.1075, 0.0000], [0.0000, 0.0000, 4.5825]], "species": ["Zr", "Ti", "Ti", "Nb", "H"], "fractional_positions": [[0.0000, 0.0000, 0.0000], [0.0000, 0.5000, 0.5000], [0.5000, 0.0000, 0.5000], [0.5000, 0.5000, 0.0000], [0.5000, 0.5000, 0.5000]], "e_tot_ev_per_cell": -37.89, "spacegroup": "P4/mmm, No. 123", "volume_a3_per_atom": 15.46}

***

# 21
{"formula": "NbTlH3", "functional": "PBE", "state": "optimized geometry", "lattice_angstrom": [[3.8063, 0.0000, 0.0000], [0.0000, 3.8063, 0.0000], [0.0000, 0.0000, 3.8063]], "species": ["Nb", "Tl", "H", "H", "H"], "fractional_positions": [[0.0000, 0.0000, 0.0000], [0.5000, 0.5000, 0.5000], [0.0000, 0.0000, 0.5000], [0.0000, 0.5000, 0.0000], [0.5000, 0.0000, 0.0000]], "e_tot_ev_per_cell": -21.24, "spacegroup": "Pm-3m, No. 221", "volume_a3_per_atom": 11.03}

***

# 22
{"formula": "Nb2TlH2", "functional": "PBE", "state": "optimized geometry", "lattice_angstrom": [[-1.8314, 1.8314, 4.7887], [1.8314, -1.8314, 4.7887], [1.8314, 1.8314, -4.7887]], "species": ["Nb", "Nb", "Tl", "H", "H"], "fractional_positions": [[0.1693, 0.1693, 0.0000], [0.8307, 0.8307, 0.0000], [0.5000, 0.5000, 0.0000], [0.2500, 0.7500, 0.5000], [0.7500, 0.2500, 0.5000]], "e_tot_ev_per_cell": -29.18, "spacegroup": "I4/mmm, No. 139", "volume_a3_per_atom": 12.85}

***

# 23
{"formula": "NbTl2H", "functional": "PBE", "state": "optimized geometry", "lattice_angstrom": [[0.0000, 3.4488, 3.4488], [3.4488, 0.0000, 3.4488], [3.4488, 3.4488, 0.0000]], "species": ["Nb", "Tl", "Tl", "H"], "fractional_positions": [[0.0000, 0.0000, 0.0000], [0.2500, 0.2500, 0.2500], [0.7500, 0.7500, 0.7500], [0.5000, 0.5000, 0.5000]], "e_tot_ev_per_cell": -13.78, "spacegroup": "Fm-3m, No. 225", "volume_a3_per_atom": 20.51}

***

# 24
{"formula": "NbTlH3", "functional": "PBE", "state": "optimized geometry", "lattice_angstrom": [[3.8593, 0.0000, 0.0000], [0.0000, 3.8593, 0.0000], [0.0000, 0.0000, 3.8593]], "species": ["Nb", "Tl", "H", "H", "H"], "fractional_positions": [[0.0000, 0.0000, 0.0000], [0.5000, 0.5000, 0.5000], [0.0000, 0.5000, 0.5000], [0.5000, 0.0000, 0.5000], [0.5000, 0.5000, 0.0000]], "e_tot_ev_per_cell": -16.37, "spacegroup": "Pm-3m, No. 221", "volume_a3_per_atom": 11.50}

***

# 25
{"formula": "NbTl2H", "functional": "PBE", "state": "optimized geometry", "lattice_angstrom": [[-3.5012, 3.5012, 2.9803], [3.5012, -3.5012, 2.9803], [3.5012, 3.5012, -2.9803]], "species": ["Nb", "Nb", "Tl", "Tl", "Tl", "Tl", "H", "H"], "fractional_positions": [[0.0000, 0.0000, 0.0000], [0.7500, 0.2500, 0.5000], [0.1992, 0.6250, 0.0742], [0.3750, 0.4492, 0.5742], [0.5508, 0.1250, 0.9258], [0.8750, 0.8008, 0.4258], [0.2500, 0.7500, 0.5000], [0.5000, 0.5000, 0.0000]], "e_tot_ev_per_cell": -30.69, "spacegroup": "I-42d, No. 122", "volume_a3_per_atom": 18.27}

***

# 26
{"formula": "Nb2TlVH", "functional": "PBE", "state": "optimized geometry", "lattice_angstrom": [[4.1544, 0.0000, 0.0000], [0.0000, 4.1544, 0.0000], [0.0000, 0.0000, 4.2650]], "species": ["Nb", "Nb", "Tl", "V", "H"], "fractional_positions": [[0.0000, 0.5000, 0.0000], [0.5000, 0.0000, 0.0000], [0.0000, 0.0000, 0.5000], [0.5000, 0.5000, 0.5000], [0.5000, 0.5000, 0.0000]], "e_tot_ev_per_cell": -34.46, "spacegroup": "P4/mmm, No. 123", "volume_a3_per_atom": 14.72}

***

# 27
{"formula": "Y2NbTlH", "functional": "PBE", "state": "optimized geometry", "lattice_angstrom": [[4.8532, 0.0000, 0.0000], [0.0000, 4.8532, 0.0000], [0.0000, 0.0000, 4.2727]], "species": ["Y", "Y", "Nb", "Tl", "H"], "fractional_positions": [[0.0000, 0.5000, 0.0000], [0.5000, 0.0000, 0.0000], [0.0000, 0.0000, 0.5000], [0.5000, 0.5000, 0.5000], [0.0000, 0.0000, 0.0000]], "e_tot_ev_per_cell": -29.34, "spacegroup": "P4/mmm, No. 123", "volume_a3_per_atom": 20.13}

***

# 28
{"formula": "ZrNbTl2H", "functional": "PBE", "state": "optimized geometry", "lattice_angstrom": [[5.5319, 0.0000, 0.0000], [0.0000, 5.5319, 0.0000], [0.0000, 0.0000, 5.0293]], "species": ["Zr", "Nb", "Tl", "Tl", "H"], "fractional_positions": [[0.0000, 0.0000, 0.0000], [0.0000, 0.0000, 0.5000], [0.0000, 0.5000, 0.5000], [0.5000, 0.0000, 0.5000], [0.5000, 0.5000, 0.0000]], "e_tot_ev_per_cell": -21.01, "spacegroup": "P4/mmm, No. 123", "volume_a3_per_atom": 30.78}